Computed, not measured: a relaxed NdPtSe crystal at the PBE-GGA level of DFT.

The space group is C2/m (No. 12) and the conventional cell measures 10.929, 4.368 and 6.249 Å, with angles of 90.00, 104.04 and 90.00 degrees. The distinct sites, in fractional coordinates, are Nd at (0.164, 0.000, 0.230), Pt at (0.132, 0.000, 0.676) and Se at (0.067, 0.500, 0.810).

As for the calculated volume: 24.1 Å³/atom. For the uncorrected formation energy, the calculation gives -1019 meV/atom. The electronic total energy is -5.7835 eV/atom. Its mass density is 9.6 Mg/m³.